1.
A plane-wave DFT calculation with PBE-GGA was carried out for crystalline CaTb14Sm at its relaxed geometry.

a b c (Å): 11.3956 7.3033 7.3033
angles (deg): 59.94 90.00 90.00
Fractional positions:
Ca 0.0000 0.0000 0.0000
Tb 0.0000 0.0018 0.4987
Tb 0.0000 0.4987 0.0018
Tb 0.2488 0.3335 0.3335
Tb 0.2533 0.8312 0.8312
Tb 0.2540 0.3378 0.8316
Tb 0.2540 0.8316 0.3378
Tb 0.5000 0.0001 0.0001
Tb 0.5000 0.0002 0.5000
Tb 0.5000 0.5000 0.0002
Tb 0.5000 0.5004 0.5004
Tb 0.7460 0.3378 0.8316
Tb 0.7460 0.8316 0.3378
Tb 0.7467 0.8312 0.8312
Tb 0.7512 0.3335 0.3335
Sm 0.0000 0.4992 0.4992

## Properties
Its density of states at the Fermi level is 25.172 states/eV/f.u. As for the symmetry: Amm2. The value obtained for the electronic total energy is -71.06 eV for the cell shown. The value obtained for the total magnetic moment is 0.00 μB per formula unit.

2.
A plane-wave DFT calculation with PBE-GGA was carried out for crystalline Ca2TbSm at its relaxed geometry.

a b c (Å): 3.7192 3.7192 36.8342
angles (deg): 90.00 90.00 120.00
Fractional positions:
Ca 0.0000 0.0000 0.0000
Ca 0.0000 0.0000 0.4226
Ca 0.3333 0.6667 0.0893
Ca 0.3333 0.6667 0.6667
Ca 0.6667 0.3333 0.3333
Ca 0.6667 0.3333 0.7559
Tb 0.0000 0.0000 0.8398
Tb 0.3333 0.6667 0.5064
Tb 0.6667 0.3333 0.1731
Sm 0.0000 0.0000 0.5811
Sm 0.3333 0.6667 0.2478
Sm 0.6667 0.3333 0.9144

## Properties
Its density of states at the Fermi level is 6.029 states/eV/f.u. As for the energy above the most stable polymorph in this dataset: 0.000 eV per atom. As for the symmetry: R3m. The value obtained for the total magnetic moment is 0.00 μB per formula unit.

3.
A plane-wave DFT calculation with PBE-GGA was carried out for crystalline CaTb3Sm7 at its relaxed geometry.

a b c (Å): 7.1953 7.1953 8.7321
angles (deg): 90.00 90.00 120.00
Fractional positions:
Ca 0.0000 0.0000 0.0000
Tb 0.1694 0.3387 0.6573
Tb 0.1694 0.8306 0.6573
Tb 0.6613 0.8306 0.6573
Sm 0.0041 0.5021 0.9945
Sm 0.3333 0.6667 0.3221
Sm 0.3372 0.1686 0.3366
Sm 0.4979 0.5021 0.9945
Sm 0.4979 0.9959 0.9945
Sm 0.8314 0.1686 0.3366
Sm 0.8314 0.6628 0.3366

## Properties
Its density of states at the Fermi level is 16.273 states/eV/f.u. As for the energy above the most stable polymorph in this dataset: 0.000 eV per atom. As for the symmetry: P3m1. The value obtained for the total magnetic moment is 0.00 μB per formula unit.

4.
A plane-wave DFT calculation with PBE-GGA was carried out for crystalline CaTb7Sm12 at its relaxed geometry.

a b c (Å): 9.9753 9.9753 9.9753
angles (deg): 109.47 109.47 109.47
Fractional positions:
Ca 0.0000 0.0000 0.0000
Tb 0.0000 0.0000 0.5000
Tb 0.0000 0.5000 0.0000
Tb 0.0000 0.5000 0.5000
Tb 0.5000 0.0000 0.0000
Tb 0.5000 0.0000 0.5000
Tb 0.5000 0.5000 0.0000
Tb 0.5000 0.5000 0.5000
Sm 0.0000 0.2567 0.7433
Sm 0.0000 0.7433 0.2567
Sm 0.2567 0.0000 0.7433
Sm 0.2567 0.2567 0.5133
Sm 0.2567 0.5133 0.2567
Sm 0.2567 0.7433 0.0000
Sm 0.4867 0.7433 0.7433
Sm 0.5133 0.2567 0.2567
Sm 0.7433 0.0000 0.2567
Sm 0.7433 0.2567 0.0000
Sm 0.7433 0.4867 0.7433
Sm 0.7433 0.7433 0.4867

## Properties
Its density of states at the Fermi level is 23.342 states/eV/f.u. As for the symmetry: Im-3m. The value obtained for the electronic total energy is -78.39 eV for the cell shown. The value obtained for the total magnetic moment is 0.00 μB per formula unit.

5.
A plane-wave DFT calculation with PBE-GGA was carried out for crystalline CaTb12Sm7 at its relaxed geometry.

a b c (Å): 9.8577 9.8577 9.8577
angles (deg): 109.47 109.47 109.47
Fractional positions:
Ca 0.0000 0.0000 0.0000
Tb 0.0000 0.2545 0.7455
Tb 0.0000 0.7455 0.2545
Tb 0.2545 0.0000 0.7455
Tb 0.2545 0.2545 0.5090
Tb 0.2545 0.5090 0.2545
Tb 0.2545 0.7455 0.0000
Tb 0.4910 0.7455 0.7455
Tb 0.5090 0.2545 0.2545
Tb 0.7455 0.0000 0.2545
Tb 0.7455 0.2545 0.0000
Tb 0.7455 0.4910 0.7455
Tb 0.7455 0.7455 0.4910
Sm 0.0000 0.0000 0.5000
Sm 0.0000 0.5000 0.0000
Sm 0.0000 0.5000 0.5000
Sm 0.5000 0.0000 0.0000
Sm 0.5000 0.0000 0.5000
Sm 0.5000 0.5000 0.0000
Sm 0.5000 0.5000 0.5000

## Properties
Its density of states at the Fermi level is 26.051 states/eV/f.u. As for the symmetry: Im-3m. The value obtained for the electronic total energy is -78.18 eV for the cell shown. The value obtained for the total magnetic moment is 0.00 μB per formula unit.

6.
A plane-wave DFT calculation with PBE-GGA was carried out for crystalline CaTb3Sm5 at its relaxed geometry.

a b c (Å): 9.9283 9.9283 7.0819
angles (deg): 90.00 90.00 60.16
Fractional positions:
Ca 0.1794 0.8206 0.7500
Ca 0.8206 0.1794 0.2500
Tb 0.1680 0.1680 0.0000
Tb 0.1680 0.1680 0.5000
Tb 0.5000 0.5000 0.0000
Tb 0.5000 0.5000 0.5000
Tb 0.8320 0.8320 0.0000
Tb 0.8320 0.8320 0.5000
Sm 0.1438 0.4958 0.7500
Sm 0.1615 0.8385 0.2500
Sm 0.1901 0.4953 0.2500
Sm 0.4953 0.1901 0.7500
Sm 0.4958 0.1438 0.2500
Sm 0.5042 0.8562 0.7500
Sm 0.5047 0.8099 0.2500
Sm 0.8099 0.5047 0.7500
Sm 0.8385 0.1615 0.7500
Sm 0.8562 0.5042 0.2500

## Properties
Its density of states at the Fermi level is 13.199 states/eV/f.u. As for the symmetry: Cmcm. The value obtained for the electronic total energy is -77.48 eV for the cell shown. The value obtained for the total magnetic moment is 0.00 μB per formula unit.

7.
A plane-wave DFT calculation with PBE-GGA was carried out for crystalline CaTb2Sm7 at its relaxed geometry.

a b c (Å): 6.6488 6.8880 8.1786
angles (deg): 74.29 72.22 83.19
Fractional positions:
Ca 0.0000 0.0000 0.0000
Tb 0.1983 0.5778 0.7806
Tb 0.8017 0.4222 0.2194
Sm 0.0000 0.0000 0.5000
Sm 0.2232 0.5287 0.3423
Sm 0.4355 0.2337 0.0604
Sm 0.4550 0.1543 0.6286
Sm 0.5450 0.8457 0.3714
Sm 0.5645 0.7663 0.9396
Sm 0.7768 0.4713 0.6577

## Properties
Its density of states at the Fermi level is 14.729 states/eV/f.u. As for the symmetry: P-1. The value obtained for the electronic total energy is -43.29 eV for the cell shown. The value obtained for the total magnetic moment is 0.00 μB per formula unit.

8.
A plane-wave DFT calculation with PBE-GGA was carried out for crystalline CaTb6Sm at its relaxed geometry.

a b c (Å): 11.3919 5.0880 10.1844
angles (deg): 90.00 116.62 90.00
Fractional positions:
Ca 0.0000 0.0000 0.0000
Ca 0.5000 0.5000 0.0000
Tb 0.0018 0.5000 0.7430
Tb 0.2467 0.0000 0.8704
Tb 0.2478 0.5000 0.6210
Tb 0.2522 0.0000 0.3790
Tb 0.2533 0.5000 0.1296
Tb 0.4982 0.0000 0.2570
Tb 0.5018 0.0000 0.7430
Tb 0.7467 0.5000 0.8704
Tb 0.7478 0.0000 0.6210
Tb 0.7522 0.5000 0.3790
Tb 0.7533 0.0000 0.1296
Tb 0.9982 0.5000 0.2570
Sm 0.0000 0.0000 0.5000
Sm 0.5000 0.5000 0.5000

## Properties
Its density of states at the Fermi level is 12.200 states/eV/f.u. As for the symmetry: C2/m. The value obtained for the electronic total energy is -68.03 eV for the cell shown. The value obtained for the total magnetic moment is 0.00 μB per formula unit.

9.
A plane-wave DFT calculation with PBE-GGA was carried out for crystalline CaTb6Sm5 at its relaxed geometry.

a b c (Å): 8.0736 8.0736 6.2532
angles (deg): 97.41 97.41 84.30
Fractional positions:
Ca 0.0000 0.0000 0.0000
Tb 0.0846 0.4235 0.2534
Tb 0.2521 0.2521 0.7433
Tb 0.4235 0.0846 0.2534
Tb 0.5765 0.9154 0.7466
Tb 0.7479 0.7479 0.2567
Tb 0.9154 0.5765 0.7466
Sm 0.1705 0.8295 0.5000
Sm 0.3381 0.6619 0.0000
Sm 0.5000 0.5000 0.5000
Sm 0.6619 0.3381 0.0000
Sm 0.8295 0.1705 0.5000

## Properties
Its density of states at the Fermi level is 17.117 states/eV/f.u. As for the symmetry: C2/m. The value obtained for the electronic total energy is -52.89 eV for the cell shown. The value obtained for the total magnetic moment is 0.00 μB per formula unit.

10.
A plane-wave DFT calculation with PBE-GGA was carried out for crystalline CaTb3Sm7 at its relaxed geometry.

a b c (Å): 7.7844 7.7844 6.5203
angles (deg): 93.89 93.89 81.58
Fractional positions:
Ca 0.0000 0.0000 0.0000
Tb 0.3314 0.6686 0.5000
Tb 0.5000 0.5000 0.0000
Tb 0.6686 0.3314 0.5000
Sm 0.0000 0.0000 0.5000
Sm 0.0752 0.4195 0.7553
Sm 0.2659 0.2659 0.2914
Sm 0.4195 0.0752 0.7553
Sm 0.5805 0.9248 0.2447
Sm 0.7341 0.7341 0.7086
Sm 0.9248 0.5805 0.2447

## Properties
Its density of states at the Fermi level is 15.065 states/eV/f.u. As for the energy above the most stable polymorph in this dataset: 0.016 eV per atom. As for the symmetry: C2/m. The value obtained for the total magnetic moment is 0.00 μB per formula unit.

11.
A plane-wave DFT calculation with PBE-GGA was carried out for crystalline Ca2TbSm at its relaxed geometry.

a b c (Å): 4.1588 4.1588 8.3386
angles (deg): 90.00 90.00 90.00
Fractional positions:
Ca 0.0000 0.0000 0.2472
Ca 0.0000 0.0000 0.7528
Tb 0.5000 0.5000 0.0000
Sm 0.5000 0.5000 0.5000

## Properties
Its density of states at the Fermi level is 6.215 states/eV/f.u. As for the energy above the most stable polymorph in this dataset: 0.113 eV per atom. As for the symmetry: P4/mmm. The value obtained for the total magnetic moment is 0.00 μB per formula unit.

12.
A plane-wave DFT calculation with PBE-GGA was carried out for crystalline Ca2TbSm at its relaxed geometry.

a b c (Å): 3.5839 3.5839 39.7151
angles (deg): 90.00 90.00 120.00
Fractional positions:
Ca 0.0000 0.0000 0.0887
Ca 0.0000 0.0000 0.9113
Ca 0.3333 0.6667 0.5780
Ca 0.3333 0.6667 0.7554
Ca 0.6667 0.3333 0.2446
Ca 0.6667 0.3333 0.4220
Tb 0.0000 0.0000 0.5000
Tb 0.3333 0.6667 0.1667
Tb 0.6667 0.3333 0.8333
Sm 0.0000 0.0000 0.0000
Sm 0.3333 0.6667 0.6667
Sm 0.6667 0.3333 0.3333

## Properties
Its density of states at the Fermi level is 7.352 states/eV/f.u. As for the energy above the most stable polymorph in this dataset: 0.187 eV per atom. As for the symmetry: R-3m. The value obtained for the total magnetic moment is 0.60 μB per formula unit.